VASP calculation (PBE) on K2EuTa5O15 after structural relaxation.

Values from the calculation:
**Raw total energy**: -9.169 eV/atom
**Total magnetization**: 5.96 μB per formula unit
**DOS at the Fermi energy**: 9.36 states/eV/f.u.
**ρ**: 7.16 g cm⁻³
**Crystal system**: tetragonal
**Raw formation energy**: -2817 meV per atom
**Space-group type**: P4/mbm

```
K2EuTa5O15
1.0
12.707 0.000 0.000
0.000 12.707 0.000
0.000 0.000 3.951
K Eu Ta O
4 2 10 30
Cartesian
2.156 4.198 0.000
8.509 2.156 0.000
4.198 10.551 0.000
10.551 8.509 0.000
0.000 0.000 0.000
6.353 6.353 0.000
0.970 9.999 1.975
2.708 0.970 1.975
0.000 6.353 1.975
3.645 7.323 1.975
9.062 5.384 1.975
9.999 11.737 1.975
7.323 9.062 1.975
5.384 3.645 1.975
11.737 2.708 1.975
6.353 0.000 1.975
0.016 4.355 1.975
8.810 5.374 0.000
3.615 2.739 1.975
11.012 0.783 1.975
2.739 9.092 1.975
2.456 0.980 0.000
5.374 3.897 0.000
1.695 11.924 1.975
10.251 11.727 0.000
8.048 7.137 1.975
9.092 9.968 1.975
4.659 5.570 1.975
1.998 6.337 1.975
4.355 12.691 1.975
0.980 10.251 0.000
9.968 3.615 1.975
10.709 6.370 1.975
11.727 2.456 0.000
8.352 0.016 1.975
11.924 11.012 1.975
0.783 1.695 1.975
12.691 8.352 1.975
6.337 10.709 1.975
7.333 8.810 0.000
7.137 4.659 1.975
5.570 8.048 1.975
6.353 0.000 0.000
3.897 7.333 0.000
6.370 1.998 1.975
0.000 6.353 0.000
```